--- one ---
Compound: Zn2ReBr
Source: Alexandria
Functional: SCAN
Structure: single point on PBEsol structure

DOS(E_F): 1.6 states/eV per cell

Lattice parameters (Å, degrees): 2.9352 2.9352 8.1079 90.00 90.00 108.70
Closest atoms and distances in Å follow each position.
Element x y z (fractional)
Zn 0.0000 0.0000 0.2323  2 Re 2.54, 2 Br 2.76
Zn 0.0000 0.0000 0.7677  2 Re 2.54, 2 Br 2.76
Re 0.5000 0.5000 0.0000  4 Zn 2.54
Br 0.5000 0.5000 0.5000  4 Zn 2.76, 4 Br 2.94

---

--- two ---
Compound: Zn2ReBr
Source: Alexandria
Functional: SCAN
Structure: single point on PBEsol structure

DOS(E_F): 2.6 states/eV per cell

Lattice parameters (Å, degrees): 5.5070 5.5070 5.5070 149.29 131.09 58.87
Closest atoms and distances in Å follow each position.
Element x y z (fractional)
Zn 0.2334 0.2334 0.0000  2 Re 2.67, 6 Zn 2.72-2.92, 2 Br 2.94
Zn 0.7666 0.7666 0.0000  2 Re 2.67, 6 Zn 2.72-2.92, 2 Br 2.94
Re 0.0000 0.5000 0.5000  4 Zn 2.67, 4 Br 2.71, 2 Re 2.92
Br 0.5000 0.0000 0.5000  4 Re 2.71, 2 Br 2.92, 4 Zn 2.94

---

Referenced to the most stable arrangement, the calculated values in kJ/mol of atoms are one 0.0; two 34.9.

---

--- one ---
Compound: Zn2ReBr
Source: Alexandria
Functional: SCAN
Structure: single point on PBEsol structure

DOS(E_F): 1.9 states/eV per cell

Lattice parameters (Å, degrees): 2.9350 2.9350 9.6793 90.00 90.00 122.61
Closest atoms and distances in Å follow each position.
Element x y z (fractional)
Zn 0.0000 0.0000 0.0000  2 Re 2.61, 4 Zn 2.62-2.82
Zn 0.5000 0.5000 0.2282  4 Zn 2.62-2.82
Re 0.5000 0.5000 0.7733  2 Br 2.51, 2 Zn 2.61
Br 0.0000 0.0000 0.5582  2 Re 2.51

---

--- two ---
Compound: Zn2ReBr
Source: Alexandria
Functional: SCAN
Structure: single point on PBEsol structure

DOS(E_F): 2.4 states/eV per cell

Lattice parameters (Å, degrees): 5.1518 5.1518 4.5910 103.67 103.67 32.68
Closest atoms and distances in Å follow each position.
Element x y z (fractional)
Zn 0.2335 0.2335 0.2188  2 Zn 2.56, 2 Re 2.70
Zn 0.7665 0.7665 0.7812  2 Zn 2.56, 2 Re 2.70
Re 0.5000 0.5000 0.0000  4 Zn 2.70, 4 Br 2.71, 2 Re 2.90
Br 0.0000 0.0000 0.5000  4 Re 2.71, 2 Br 2.90, 6 Zn 2.91-3.01

---

Referenced to the most stable arrangement, the calculated values in kJ/mol of atoms are one 0.0; two 18.7.

---

--- one ---
Compound: RuRh2Br
Source: Alexandria
Functional: SCAN
Structure: single point on PBEsol structure

DOS(E_F): 4.1 states/eV per cell

Lattice parameters (Å, degrees): 4.6750 4.6750 4.6750 130.01 130.01 73.40
Closest atoms and distances in Å follow each position.
Element x y z (fractional)
Ru 0.0000 0.0000 0.0000  8 Rh 2.72, 4 Br 2.79
Rh 0.2500 0.7500 0.5000  4 Br 2.72, 4 Ru 2.72, 4 Rh 2.79
Rh 0.7500 0.2500 0.5000  4 Br 2.72, 4 Ru 2.72, 4 Rh 2.79
Br 0.5000 0.5000 0.0000  8 Rh 2.72, 4 Ru 2.79

---

--- two ---
Compound: RuRh2Br
Source: Alexandria
Functional: SCAN
Structure: single point on PBEsol structure

DOS(E_F): 3.6 states/eV per cell

Lattice parameters (Å, degrees): 2.7509 3.4967 6.7773 90.00 90.00 90.00
Closest atoms and distances in Å follow each position.
Element x y z (fractional)
Ru 0.0000 0.0000 0.0000  8 Rh 2.58, 2 Ru 2.75
Rh 0.5000 0.5000 0.1937  4 Ru 2.58, 3 Rh 2.63-2.75, 2 Br 2.71
Rh 0.5000 0.5000 0.8063  4 Ru 2.58, 3 Rh 2.63-2.75, 2 Br 2.71
Br 0.5000 0.0000 0.5000  4 Rh 2.71, 2 Br 2.75

---

--- three ---
Compound: RuRh2Br
Source: Alexandria
Functional: SCAN
Structure: single point on PBEsol structure

DOS(E_F): 4.5 states/eV per cell

Lattice parameters (Å, degrees): 4.6902 4.6902 2.8128 90.00 90.00 109.95
Closest atoms and distances in Å follow each position.
Element x y z (fractional)
Ru 0.0000 0.0000 0.0000  2 Br 2.69, 8 Rh 2.73, 2 Ru 2.81
Rh 0.0000 0.5000 0.5000  4 Rh 2.69-2.81, 4 Br 2.73, 4 Ru 2.73
Rh 0.5000 0.0000 0.5000  4 Rh 2.69-2.81, 4 Br 2.73, 4 Ru 2.73
Br 0.5000 0.5000 0.0000  2 Ru 2.69, 8 Rh 2.73, 2 Br 2.81

---

--- four ---
Compound: RuRh2Br
Source: Alexandria
Functional: SCAN
Structure: single point on PBEsol structure

DOS(E_F): 4.9 states/eV per cell

Lattice parameters (Å, degrees): 3.8144 3.8144 4.0011 90.00 90.00 90.00
Closest atoms and distances in Å follow each position.
Element x y z (fractional)
Ru 0.0000 0.0000 0.0000  4 Br 2.70, 8 Rh 2.76
Rh 0.0000 0.5000 0.5000  4 Rh 2.70, 4 Br 2.76, 4 Ru 2.76
Rh 0.5000 0.0000 0.5000  4 Rh 2.70, 4 Br 2.76, 4 Ru 2.76
Br 0.5000 0.5000 0.0000  4 Ru 2.70, 8 Rh 2.76

---

Referenced to the most stable arrangement, the calculated values in kJ/mol of atoms are one 44.0; two 0.0; three 36.8; four 53.5.

---

--- one ---
Compound: RuRhBr2
Source: Alexandria
Functional: SCAN
Structure: single point on PBEsol structure

DOS(E_F): 5.3 states/eV per cell

Lattice parameters (Å, degrees): 4.5807 4.5807 4.5807 60.00 60.00 60.00
Closest atoms and distances in Å follow each position.
Element x y z (fractional)
Ru 0.0000 0.0000 0.0000  4 Br 2.81, 4 Rh 2.81
Rh 0.2500 0.2500 0.2500  4 Br 2.81, 4 Ru 2.81
Br 0.5000 0.5000 0.5000  4 Br 2.81, 4 Rh 2.81
Br 0.7500 0.7500 0.7500  4 Br 2.81, 4 Ru 2.81

---

--- two ---
Compound: RuRhBr2
Source: Alexandria
Functional: SCAN
Structure: single point on PBEsol structure

DOS(E_F): 1.2 states/eV per cell

Lattice parameters (Å, degrees): 3.0432 3.0432 8.0038 90.00 90.00 90.00
Closest atoms and distances in Å follow each position.
Element x y z (fractional)
Ru 0.0000 0.0000 0.0000  4 Rh 2.60, 4 Br 2.74
Rh 0.5000 0.5000 0.8175  4 Ru 2.60, 4 Br 2.76
Br 0.0000 0.0000 0.6017  4 Rh 2.76, 4 Br 3.04
Br 0.5000 0.5000 0.2128  4 Ru 2.74, 4 Br 3.04

---

Referenced to the most stable arrangement, the calculated values in kJ/mol of atoms are one 76.4; two 0.0.

---

--- one ---
Compound: Rh2SeBr
Source: Alexandria
Functional: SCAN
Structure: single point on PBEsol structure

DOS(E_F): 2.8 states/eV per cell

Lattice parameters (Å, degrees): 5.9724 5.9724 5.9724 37.84 37.84 37.84
Closest atoms and distances in Å follow each position.
Element x y z (fractional)
Rh 0.2221 0.2221 0.2221  3 Se 2.42
Rh 0.7779 0.7779 0.7779  3 Se 2.42
Se 0.5000 0.5000 0.5000  6 Rh 2.42
Br 0.0000 0.0000 0.0000  6 Rh 2.90

---

--- two ---
Compound: Rh2SeBr
Source: Alexandria
Functional: SCAN
Structure: single point on PBEsol structure

DOS(E_F): 3.5 states/eV per cell

Lattice parameters (Å, degrees): 6.0375 6.0375 6.0375 150.66 141.28 49.31
Closest atoms and distances in Å follow each position.
Element x y z (fractional)
Rh 0.0000 0.0000 0.0000  2 Se 2.55, 4 Br 2.58
Rh 0.7747 0.2747 0.5000  4 Se 2.70, 2 Br 2.76, 2 Rh 2.91
Se 0.1863 0.6863 0.5000  6 Rh 2.55-2.70
Br 0.4482 0.4482 0.0000  6 Rh 2.58-2.76

---

Referenced to the most stable arrangement, the calculated values in kJ/mol of atoms are one 0.0; two 33.2.

---

--- one ---
Compound: SrRhBr
Source: Alexandria
Functional: SCAN
Structure: single point on PBEsol structure

DOS(E_F): 0.8 states/eV per cell

Lattice parameters (Å, degrees): 4.6247 4.6247 4.6247 60.00 60.00 60.00
Closest atoms and distances in Å follow each position.
Element x y z (fractional)
Sr 0.0000 0.0000 0.0000  4 Rh 2.83
Rh 0.7500 0.7500 0.7500  4 Br 2.83, 4 Sr 2.83
Br 0.5000 0.5000 0.5000  4 Rh 2.83

---

--- two ---
Compound: SrRhBr
Source: Alexandria
Functional: SCAN
Structure: single point on PBEsol structure

DOS(E_F): 0.2 states/eV per cell

Lattice parameters (Å, degrees): 3.9879 4.3485 4.3485 61.98 90.00 90.00
Closest atoms and distances in Å follow each position.
Element x y z (fractional)
Sr 0.0000 0.0000 0.0000  6 Rh 3.10-3.29, 6 Br 3.16-3.26
Rh 0.5000 0.3182 0.3182  3 Br 2.49-2.64
Br 0.5000 0.6719 0.6719  3 Rh 2.49-2.64

---

Referenced to the most stable arrangement, the calculated values in kJ/mol of atoms are one 27.2; two 0.0.